This record from the Alexandria database describes crystalline Ta4Ga2C at its relaxed geometry. The functional is PBE.

Properties
formation enthalpy at 0 K	-0.324	eV per atom
VASP energy	-129.914	eV per cell

a b c (Å): 3.086 7.286 9.979
angles (deg): 90.00 90.00 90.00
Sites, in units of the cell vectors:
Ta  0.000  0.639  0.804
Ta  0.000  0.361  0.196
Ta  0.000  0.139  0.696
Ta  0.000  0.861  0.304
Ta  0.500  0.820  0.578
Ta  0.500  0.180  0.422
Ta  0.500  0.680  0.078
Ta  0.500  0.320  0.922
Ga  0.500  0.939  0.872
Ga  0.500  0.061  0.128
Ga  0.500  0.439  0.628
Ga  0.500  0.561  0.372
C  0.000  0.000  0.500
C  0.000  0.500  0.000

=====

This record from the Alexandria database describes crystalline In2TcTe at its relaxed geometry. The functional is PBE.

Properties
VASP energy	-18.734	eV per cell
formation energy (no corrections)	0.06	eV per atom

a b c (Å): 3.260 3.260 8.798
angles (deg): 90.00 90.00 90.00
Sites, in units of the cell vectors:
In  0.000  0.000  0.022
In  0.500  0.500  0.296
Tc  0.000  0.000  0.509
Te  0.500  0.500  0.673

=====

This record from the Alexandria database describes crystalline MnTc2Ru at its relaxed geometry. The functional is PBE.

Properties
formation enthalpy at 0 K	0.071	eV per atom
VASP energy	-38.891	eV per cell

a b c (Å): 3.768 2.704 6.018
angles (deg): 63.33 90.00 90.00
Last column: magnetic moment on the atom in μB.
Sites, in units of the cell vectors:
Mn  0.500  0.250  0.250  1.60
Ru  0.500  0.750  0.750  0.14
Tc  0.000  0.990  0.010  -0.25
Tc  0.000  0.510  0.490  -0.25

=====

This record from the Alexandria database describes crystalline Rb2CuIBr2 at its relaxed geometry. The functional is PBE.

Properties
VASP energy	-35.359	eV per cell
formation energy (no corrections)	-1.13	eV per atom

a b c (Å): 7.174 9.770 8.908
angles (deg): 123.26 90.00 90.00
Sites, in units of the cell vectors:
Rb  0.236  0.825  0.323
Rb  0.236  0.503  0.677
Rb  0.736  0.175  0.677
Rb  0.736  0.497  0.323
Cu  0.677  0.833  0.000
Cu  0.177  0.167  0.000
I  0.334  0.920  0.000
I  0.834  0.080  0.000
Br  0.745  0.817  0.269
Br  0.745  0.548  0.731
Br  0.245  0.452  0.269
Br  0.245  0.183  0.731